(1)
The following is a PBE-GGA calculation of crystalline TbDy7Er4 at its relaxed geometry, from the Alexandria database.

Its space group is P-1 (2). The calculation puts the energy above the lowest structure with this stoichiometry at 0.000 eV/atom. As for the formation energy: 8.6 kJ/mol of atoms.

a = 6.7580 Å, b = 6.4377 Å, c = 11.5815 Å
α = 74.98°, β = 50.61°, γ = 82.14°
Fractional positions:
Dy (0.5000, 0.0000, 0.0000)
Dy (0.9398, 0.6854, 0.3585)
Dy (0.0602, 0.3146, 0.6415)
Dy (0.1998, 0.4851, 0.0509)
Dy (0.7165, 0.1922, 0.3866)
Dy (0.8002, 0.5149, 0.9491)
Dy (0.2835, 0.8078, 0.6134)
Er (0.5183, 0.6422, 0.2860)
Er (0.2974, 0.1608, 0.3139)
Er (0.4817, 0.3578, 0.7140)
Er (0.7026, 0.8392, 0.6861)
Tb (0.0000, 0.0000, 0.0000)

=====

(2)
The following is a PBE-GGA calculation of crystalline La2PrNd3Te6 at its relaxed geometry, from the Alexandria database.

Its space group is C2/m (12). As for the raw formation energy: -34.29 kcal/mol of atoms.

a = 4.5230 Å, b = 9.0927 Å, c = 10.1202 Å
α = 102.80°, β = 102.91°, γ = 90.00°
Fractional positions:
Nd (0.1663, 0.8337, 0.3326)
Nd (0.8337, 0.1663, 0.6674)
Nd (0.5000, 0.5000, 0.0000)
Te (0.3340, 0.4144, 0.6679)
Te (0.3327, 0.9200, 0.6655)
Te (0.6660, 0.5856, 0.3321)
Te (0.0014, 0.7489, 0.0028)
Te (0.6673, 0.0800, 0.3345)
Te (0.9986, 0.2511, 0.9972)
Pr (0.5000, 0.0000, 0.0000)
La (0.1655, 0.3312, 0.3311)
La (0.8345, 0.6688, 0.6689)